A geometry-optimized Cr2TeOs structure, computed with PBE.

Calculated values
Calculated volume, Å³ per atom: 15.339
ΔE_f (raw), meV/atom: 668
Calculated total energy, eV per atom: -7.737

Unit cell a=8.254 b=8.254 c=8.254 alpha=20.67 beta=20.67 gamma=20.67
Fractional coordinates of all 4 atoms:
Cr 0.000 0.000 0.000
Cr 0.265 0.265 0.265
Te 0.510 0.510 0.510
Os 0.747 0.747 0.747